# 1
LiP2O2 after structural relaxation. Source: the Alexandria database, functional PBE.

Summary:
E_form (uncorrected), eV per atom: 0.37
Distance to the lowest polymorph of the same formula, kJ/mol of formula units: 587
Density of states at the Fermi level, states/eV/f.u.: 3.80
Space group: P4/mmm (123)
E, eV per atom: -4.155

```
LiP2O2
1.0
-0.733 3.162 -1.911
-1.262 -2.045 -2.900
-4.645 0.101 1.949
O P Li
2 2 1
Cartesian
0.000 0.000 0.000
-2.322 0.051 0.975
-0.631 -1.023 -1.450
-0.366 1.581 -0.956
-3.320 0.609 -1.431
```

=====

# 2
LiPO3 after structural relaxation. Source: the Alexandria database, functional PBE.

Summary:
E_form (uncorrected), eV per atom: -1.58
Density of states at the Fermi level, states/eV/f.u.: 0.00
Space group: Pm-3m (221)
E, eV per atom: -6.023

```
LiPO3
1.0
-3.314 -0.540 0.113
0.154 -1.568 -2.967
0.530 -2.922 1.572
P O Li
1 3 1
Cartesian
0.000 0.000 0.000
0.265 -1.461 0.786
0.077 -0.784 -1.484
-1.657 -0.270 0.057
-1.315 -2.515 -0.641
```

=====

# 3
LiPaP2O8 after structural relaxation. Source: the Alexandria database, functional PBE.

Summary:
E_form (uncorrected), eV per atom: -2.56
Density of states at the Fermi level, states/eV/f.u.: 0.00
Space group: P-3m1 (164)
E, eV per atom: -7.722

```
LiPaP2O8
1.0
5.434 0.000 0.000
-2.717 4.706 0.000
0.000 0.000 6.600
O P Li Pa
8 2 1 1
Cartesian
0.000 3.137 0.182
-1.255 3.862 4.663
0.000 1.688 4.663
3.972 0.844 1.937
2.717 3.018 1.937
1.255 3.862 4.663
2.717 1.569 6.418
1.462 0.844 1.937
2.717 1.569 1.300
0.000 3.137 5.300
0.000 0.000 0.000
0.000 0.000 3.300
```

=====

# 4
LiPaPO after structural relaxation. Source: the Alexandria database, functional PBE.

Summary:
E_form (uncorrected), eV per atom: -1.91
Density of states at the Fermi level, states/eV/f.u.: 3.40
Space group: P4/nmm (129)
E, eV per atom: -7.357

```
LiPaPO
1.0
3.784 0.000 0.000
0.000 3.784 0.000
0.000 0.000 8.724
O Pa Li P
2 2 2 2
Cartesian
1.892 1.892 0.000
0.000 0.000 0.000
1.892 0.000 1.382
0.000 1.892 7.341
1.892 1.892 4.362
0.000 0.000 4.362
1.892 0.000 6.016
0.000 1.892 2.707
```

=====

# 5
LiPaPO2 after structural relaxation. Source: the Alexandria database, functional PBE.

Summary:
E_form (uncorrected), eV per atom: -2.08
Density of states at the Fermi level, states/eV/f.u.: 1.82
Space group: I4mm (107)
E, eV per atom: -7.431

```
LiPaPO2
1.0
3.790 0.000 0.000
0.000 3.790 0.000
-1.895 -1.895 5.946
P Li O Pa
1 1 2 1
Cartesian
1.895 1.895 0.404
1.895 1.895 3.720
0.000 1.895 2.939
1.895 0.000 2.939
0.000 0.000 1.890
```

=====

# 6
LiPa2PO8 after structural relaxation. Source: the Alexandria database, functional PBE.

Summary:
E_form (uncorrected), eV per atom: -2.65
Density of states at the Fermi level, states/eV/f.u.: 0.00
Space group: P-3m1 (164)
E, eV per atom: -8.150

```
LiPa2PO8
1.0
5.035 0.000 0.000
-2.518 4.361 0.000
0.000 0.000 7.001
Pa O P Li
2 8 1 1
Cartesian
2.518 1.454 1.124
0.000 2.907 5.877
1.213 0.700 6.030
-1.305 3.660 0.971
2.518 2.960 6.030
0.000 2.907 4.008
2.518 1.454 2.994
0.000 1.401 0.971
3.822 0.700 6.030
1.305 3.660 0.971
0.000 0.000 0.000
0.000 0.000 3.501
```

=====

What is the formula in the fifth record?
LiPaPO2